Record 1
Below is a relaxed structure of AlNiOs2, with properties calculated at the PBE level.

a b c (Å): 2.7347 2.7347 25.1967
angles (deg): 90.00 90.00 120.00
Space group R3m (No. 160, hexagonal axes)
Symmetry-distinct sites (fractional):
1 Al 0.0000 0.0000 0.0000 (multiplicity 3)
2 Ni 0.0000 0.0000 0.2564 (multiplicity 3)
3 Os 0.0000 0.0000 0.5055 (multiplicity 3)
4 Os 0.0000 0.0000 0.7533 (multiplicity 3)

---

Record 2
Below is a relaxed structure of AlNiOs2, with properties calculated at the PBE level.

a b c (Å): 2.829 4.347 4.446
angles (deg): 90.00 90.00 90.00
Space group Pmmm (No. 47)
Symmetry-distinct sites (fractional):
1 Al 0.000 0.000 0.000 (multiplicity 1)
2 Ni 0.500 0.000 0.500 (multiplicity 1)
3 Os 0.000 0.500 0.500 (multiplicity 1)
4 Os 0.500 0.500 0.000 (multiplicity 1)

---

Record 3
Below is a relaxed structure of Al2NiOs2, with properties calculated at the PBE level.

a b c (Å): 6.726 6.726 3.094
angles (deg): 90.00 90.00 90.00
Space group P4/mbm (No. 127)
Symmetry-distinct sites (fractional):
1 Al 0.138 0.362 0.000 (multiplicity 4)
2 Ni 0.000 0.000 0.000 (multiplicity 2)
3 Os 0.161 0.661 0.500 (multiplicity 4)

---

Record 4
Below is a relaxed structure of AlNiOs2, with properties calculated at the PBE level.

a b c (Å): 2.829 4.482 8.643
angles (deg): 90.00 90.00 90.00
Space group Immm (No. 71)
Symmetry-distinct sites (fractional):
1 Al 0.000 0.000 0.000 (multiplicity 2)
2 Ni 0.000 0.000 0.500 (multiplicity 2)
3 Os 0.000 0.500 0.252 (multiplicity 4)

---

Record 5
Below is a relaxed structure of AlNi2Os, with properties calculated at the PBE level.

a b c (Å): 4.318 4.318 2.687
angles (deg): 90.00 90.00 90.00
Space group P4/mmm (No. 123)
Symmetry-distinct sites (fractional):
1 Al 0.000 0.000 0.000 (multiplicity 1)
2 Ni 0.000 0.500 0.500 (multiplicity 2)
3 Os 0.500 0.500 0.000 (multiplicity 1)

---

Record 6
Below is a relaxed structure of AlNi4Os, with properties calculated at the PBE level.

a b c (Å): 6.610 6.610 6.610
angles (deg): 90.00 90.00 90.00
Space group F-43m (No. 216)
Symmetry-distinct sites (fractional):
1 Al 0.000 0.000 0.000 (multiplicity 4)
2 Ni 0.125 0.125 0.625 (multiplicity 16)
3 Os 0.250 0.250 0.250 (multiplicity 4)

---

Record 7
Below is a relaxed structure of AlNi2Os, with properties calculated at the PBE level.

a b c (Å): 5.855 5.855 5.855
angles (deg): 90.00 90.00 90.00
Space group F-43m (No. 216)
Symmetry-distinct sites (fractional):
1 Al 0.000 0.000 0.000 (multiplicity 4)
2 Ni 0.000 0.000 0.500 (multiplicity 4)
3 Ni 0.250 0.250 0.250 (multiplicity 4)
4 Os 0.250 0.250 0.750 (multiplicity 4)

---

Record 8
Below is a relaxed structure of AlNi2Os, with properties calculated at the PBE level.

a b c (Å): 8.540 2.631 4.526
angles (deg): 90.00 101.23 90.00
Space group Cm (No. 8)
Symmetry-distinct sites (fractional):
1 Al 0.000 0.000 0.000 (multiplicity 2)
2 Ni 0.003 0.500 0.518 (multiplicity 2)
3 Ni 0.256 0.000 0.766 (multiplicity 2)
4 Os 0.252 0.500 0.279 (multiplicity 2)

---

Record 9
Below is a relaxed structure of AlNiOs2, with properties calculated at the PBE level.

a b c (Å): 2.761 3.714 5.301
angles (deg): 90.00 90.16 90.00
Space group Pm (No. 6)
Symmetry-distinct sites (fractional):
1 Al 0.000 0.000 0.000 (multiplicity 1)
2 Ni 0.500 0.500 0.788 (multiplicity 1)
3 Os 0.000 0.000 0.512 (multiplicity 1)
4 Os 0.499 0.500 0.288 (multiplicity 1)

---

Record 10
Below is a relaxed structure of AlNi2Os, with properties calculated at the PBE level.

a b c (Å): 2.711 4.328 8.502
angles (deg): 90.00 90.00 90.00
Space group Imm2 (No. 44)
Symmetry-distinct sites (fractional):
1 Al 0.000 0.000 0.000 (multiplicity 2)
2 Ni 0.000 0.000 0.483 (multiplicity 2)
3 Ni 0.000 0.500 0.737 (multiplicity 2)
4 Os 0.000 0.500 0.238 (multiplicity 2)

---

Record 11
Below is a relaxed structure of AlNi3Os, with properties calculated at the PBE level.

a b c (Å): 4.502 4.502 4.502
angles (deg): 90.00 90.00 90.00
Space group Pm-3m (No. 221)
Symmetry-distinct sites (fractional):
1 Al 0.000 0.000 0.000 (multiplicity 1)
2 Ni 0.000 0.500 0.500 (multiplicity 3)
3 Os 0.500 0.500 0.500 (multiplicity 1)

---

Record 12
Below is a relaxed structure of AlNiOs2, with properties calculated at the PBE level.

a b c (Å): 2.867 4.561 8.408
angles (deg): 90.00 90.00 90.00
Space group Cmmm (No. 65)
Symmetry-distinct sites (fractional):
1 Al 0.000 0.000 0.000 (multiplicity 2)
2 Ni 0.000 0.000 0.500 (multiplicity 2)
3 Os 0.000 0.500 0.250 (multiplicity 4)

---

Record 13
Below is a relaxed structure of AlNiOs2, with properties calculated at the PBE level.

a b c (Å): 2.7336 2.7336 25.1492
angles (deg): 90.00 90.00 120.00
Space group R-3m (No. 166, hexagonal axes)
Symmetry-distinct sites (fractional):
1 Al 0.0000 0.0000 0.0000 (multiplicity 3)
2 Ni 0.0000 0.0000 0.5000 (multiplicity 3)
3 Os 0.0000 0.0000 0.2489 (multiplicity 6)

---

Record 14
Below is a relaxed structure of AlNi2Os, with properties calculated at the PBE level.

a b c (Å): 5.153 7.405 2.612
angles (deg): 90.00 90.00 90.00
Space group Cmmm (No. 65)
Symmetry-distinct sites (fractional):
1 Al 0.000 0.000 0.000 (multiplicity 2)
2 Ni 0.250 0.250 0.500 (multiplicity 4)
3 Os 0.000 0.500 0.000 (multiplicity 2)

---

Record 15
Below is a relaxed structure of AlNi2Os, with properties calculated at the PBE level.

a b c (Å): 2.668 2.668 6.974
angles (deg): 90.00 90.00 90.00
Space group P4/mmm (No. 123)
Symmetry-distinct sites (fractional):
1 Al 0.000 0.000 0.000 (multiplicity 1)
2 Ni 0.500 0.500 0.242 (multiplicity 2)
3 Os 0.000 0.000 0.500 (multiplicity 1)

---

Record 16
Below is a relaxed structure of AlNi2Os, with properties calculated at the PBE level.

a b c (Å): 2.942 2.942 5.714
angles (deg): 90.00 90.00 90.00
Space group P4mm (No. 99)
Symmetry-distinct sites (fractional):
1 Al 0.000 0.000 0.000 (multiplicity 1)
2 Ni 0.000 0.000 0.469 (multiplicity 1)
3 Ni 0.500 0.500 0.229 (multiplicity 1)
4 Os 0.500 0.500 0.713 (multiplicity 1)

---

Record 17
Below is a relaxed structure of AlNi2Os, with properties calculated at the PBE level.

a b c (Å): 2.627 3.668 5.186
angles (deg): 90.00 90.11 90.00
Space group P2/m (No. 10)
Symmetry-distinct sites (fractional):
1 Al 0.000 0.000 0.000 (multiplicity 1)
2 Ni 0.500 0.500 0.252 (multiplicity 2)
3 Os 0.000 0.000 0.500 (multiplicity 1)

---

Record 18
Below is a relaxed structure of AlNiOs2, with properties calculated at the PBE level.

a b c (Å): 6.880 6.880 5.025
angles (deg): 90.00 90.00 90.00
Space group I-42d (No. 122)
Symmetry-distinct sites (fractional):
1 Al 0.000 0.000 0.000 (multiplicity 4)
2 Ni 0.000 0.000 0.500 (multiplicity 4)
3 Os 0.235 0.250 0.625 (multiplicity 8)

---

Record 19
Below is a relaxed structure of Al2Ni2Os, with properties calculated at the PBE level.

a b c (Å): 6.937 6.937 2.634
angles (deg): 90.00 90.00 90.00
Space group P4/mbm (No. 127)
Symmetry-distinct sites (fractional):
1 Al 0.173 0.327 0.000 (multiplicity 4)
2 Ni 0.124 0.624 0.500 (multiplicity 4)
3 Os 0.000 0.000 0.500 (multiplicity 2)

---

Record 20
Below is a relaxed structure of AlNiOs2, with properties calculated at the PBE level.

a b c (Å): 2.954 4.229 8.424
angles (deg): 90.00 90.00 90.00
Space group Imm2 (No. 44)
Symmetry-distinct sites (fractional):
1 Al 0.000 0.000 0.000 (multiplicity 2)
2 Ni 0.000 0.500 0.726 (multiplicity 2)
3 Os 0.000 0.000 0.486 (multiplicity 2)
4 Os 0.000 0.500 0.248 (multiplicity 2)

---

no.,calculated formation energy (eV per atom)
1,-0.051
2,0.030
3,0.086
4,0.058
5,-0.121
6,0.010
7,-0.121
8,-0.198
9,-0.144
10,-0.141
11,1.263
12,0.207
13,0.007
14,-0.192
15,-0.163
16,-0.154
17,-0.161
18,0.631
19,-0.278
20,-0.101